Entry P
This record from Alexandria describes an optimized crystal structure of Mg3In2Sn. The functional is GGA-PBE.

Output
DOS(E_F)	2.74	states/eV per cell

CIF file:
```
data_Mg3In2Sn
_chemical_formula_sum 'Mg3 In2 Sn1'
_space_group_name_H-M_alt 'P 1'
_space_group_IT_number 1
_cell_length_a 3.3869
_cell_length_b 5.3523
_cell_length_c 8.3854
_cell_angle_alpha 108.61
_cell_angle_beta 90.00
_cell_angle_gamma 90.00
loop_
_space_group_symop_operation_xyz
'x,y,z'
loop_
_atom_site_label
_atom_site_type_symbol
_atom_site_fract_x
_atom_site_fract_y
_atom_site_fract_z
In1 In 0.0000 0.6687 0.3374
In2 In 0.0000 0.3313 0.6626
Mg1 Mg 0.5000 0.1626 0.3251
Mg2 Mg 0.5000 0.8374 0.6749
Mg3 Mg 0.5000 0.5000 0.0000
Sn1 Sn 0.0000 0.0000 0.0000
```

---

Entry Q
This record from Alexandria describes an optimized crystal structure of Mg3In2Sn. The functional is GGA-PBE.

Output
DOS(E_F)	1.91	states/eV per cell

CIF file:
```
data_Mg3In2Sn
_chemical_formula_sum 'Mg3 In2 Sn1'
_space_group_name_H-M_alt 'P 1'
_space_group_IT_number 1
_cell_length_a 3.3101
_cell_length_b 3.3101
_cell_length_c 12.9349
_cell_angle_alpha 90.00
_cell_angle_beta 90.00
_cell_angle_gamma 90.00
loop_
_space_group_symop_operation_xyz
'x,y,z'
loop_
_atom_site_label
_atom_site_type_symbol
_atom_site_fract_x
_atom_site_fract_y
_atom_site_fract_z
Mg1 Mg 0.0000 0.0000 0.0000
Mg2 Mg 0.0000 0.0000 0.6641
Mg3 Mg 0.0000 0.0000 0.3359
Sn1 Sn 0.5000 0.5000 0.5000
In1 In 0.5000 0.5000 0.1697
In2 In 0.5000 0.5000 0.8303
```

---

Which one sits at the top of the stability order? entry Q does.